No. 1
Compound: RbMgCr2Br8
Source: the Alexandria database
Functional: GGA-PBE
Structure: relaxed

Properties
total DFT energy (no corrections): -0.142 hartree per atom
formation energy (no corrections): -0.9281 eV per atom
space-group type: R-3, No. 148

a = 6.920 Å, b = 6.920 Å, c = 10.349 Å
α = 70.47°, β = 70.47°, γ = 60.00°
Site moments in Bohr magnetons follow the coordinates.
Fractional coordinates of all 12 atoms:
Br: 0.269 0.930 0.166  -0.01
Br: 0.635 0.269 0.166  -0.01
Br: 0.819 0.819 0.543  -0.04
Br: 0.070 0.365 0.834  -0.01
Br: 0.365 0.731 0.834  -0.01
Br: 0.181 0.181 0.457  -0.04
Br: 0.731 0.070 0.834  -0.01
Br: 0.930 0.635 0.166  -0.01
Cr: 0.264 0.264 0.209  3.24
Cr: 0.736 0.736 0.791  3.24
Rb: 0.500 0.500 0.500  0.00
Mg: 0.000 0.000 0.000  0.01



No. 2
Compound: RbMgCrBr6
Source: the Alexandria database
Functional: GGA-PBE
Structure: relaxed

Properties
total DFT energy (no corrections): -0.136 hartree per atom
formation energy (no corrections): -1.2253 eV per atom
space-group type: P312, No. 149

a = 6.801 Å, b = 6.800 Å, c = 7.808 Å
α = 90.00°, β = 90.00°, γ = 59.99°
Site moments in Bohr magnetons follow the coordinates.
Fractional coordinates of all 9 atoms:
Cr: 0.667 0.667 0.500  2.94
Br: 0.983 0.378 0.311  -0.03
Br: 0.378 0.639 0.311  -0.03
Br: 0.983 0.639 0.689  -0.03
Br: 0.639 0.378 0.689  -0.03
Br: 0.639 0.983 0.311  -0.03
Br: 0.378 0.983 0.689  -0.03
Rb: 0.000 0.000 0.000  0.00
Mg: 0.333 0.333 0.500  0.01



No. 3
Compound: MgCrSeBr2
Source: the Alexandria database
Functional: GGA-PBE
Structure: relaxed

Properties
total DFT energy (no corrections): -0.145 hartree per atom
formation energy (no corrections): -0.3333 eV per atom
space-group type: P4/mmm, No. 123
polymorph energy (0 for the lowest one): 0.0 meV per atom

a = 4.995 Å, b = 4.995 Å, c = 5.185 Å
α = 90.00°, β = 90.00°, γ = 90.00°
Site moments in Bohr magnetons follow the coordinates.
Fractional coordinates of all 5 atoms:
Br: 0.500 0.000 0.000  -0.01
Br: 0.000 0.500 0.000  -0.01
Mg: 0.500 0.500 0.500  0.02
Se: 0.000 0.000 0.500  -0.06
Cr: 0.000 0.000 0.000  3.37



No. 4
Compound: MgCrSe2Br
Source: the Alexandria database
Functional: GGA-PBE
Structure: relaxed

Properties
total DFT energy (no corrections): -0.154 hartree per atom
formation energy (no corrections): -0.2096 eV per atom
space-group type: P4/mmm, No. 123
polymorph energy (0 for the lowest one): 0.0 meV per atom

a = 4.947 Å, b = 4.947 Å, c = 4.990 Å
α = 90.00°, β = 90.00°, γ = 90.00°
Site moments in Bohr magnetons follow the coordinates.
Fractional coordinates of all 5 atoms:
Se: 0.000 0.500 0.000  -0.07
Se: 0.500 0.000 0.000  -0.07
Cr: 0.000 0.000 0.000  3.01
Mg: 0.500 0.500 0.500  0.03
Br: 0.000 0.000 0.500  -0.02



No. 5
Compound: Mg2CrSeBr
Source: the Alexandria database
Functional: GGA-PBE
Structure: relaxed

Properties
total DFT energy (no corrections): -0.121 hartree per atom
formation energy (no corrections): 0.3058 eV per atom
space-group type: P4/mmm, No. 123

a = 4.853 Å, b = 7.058 Å, c = 4.853 Å
α = 90.00°, β = 90.00°, γ = 90.00°
Site moments in Bohr magnetons follow the coordinates.
Fractional coordinates of all 5 atoms:
Se: 0.000 0.000 0.000  0.01
Br: 0.000 0.500 0.000  -0.02
Cr: 0.500 0.500 0.500  4.33
Mg: 0.000 0.000 0.500  -0.01
Mg: 0.500 0.000 0.000  0.00



No. 6
Compound: MgCrSnBr2
Source: the Alexandria database
Functional: GGA-PBE
Structure: relaxed

Properties
total DFT energy (no corrections): -0.130 hartree per atom
formation energy (no corrections): 0.1713 eV per atom
space-group type: P4/mmm, No. 123

a = 4.931 Å, b = 6.704 Å, c = 4.931 Å
α = 90.00°, β = 90.00°, γ = 90.00°
Site moments in Bohr magnetons follow the coordinates.
Fractional coordinates of all 5 atoms:
Br: 0.500 0.000 0.000  -0.03
Br: 0.000 0.000 0.500  -0.01
Mg: 0.000 0.000 0.000  -0.02
Cr: 0.500 0.500 0.500  4.21
Sn: 0.000 0.500 0.000  -0.26



No. 7
Compound: YMgCrBr2
Source: the Alexandria database
Functional: GGA-PBE
Structure: relaxed

Properties
total DFT energy (no corrections): -0.151 hartree per atom
formation energy (no corrections): 0.1013 eV per atom
space-group type: P4/mmm, No. 123

a = 5.064 Å, b = 5.987 Å, c = 5.064 Å
α = 90.00°, β = 90.00°, γ = 90.00°
Site moments in Bohr magnetons follow the coordinates.
Fractional coordinates of all 5 atoms:
Mg: 0.500 0.500 0.500  0.00
Cr: 0.000 0.000 0.000  3.47
Br: 0.000 0.000 0.500  0.03
Br: 0.500 0.000 0.000  0.02
Y: 0.000 0.500 0.000  -0.09



No. 8
Compound: MgZnCrBr2
Source: the Alexandria database
Functional: GGA-PBE
Structure: relaxed

Properties
total DFT energy (no corrections): -0.111 hartree per atom
formation energy (no corrections): 0.1539 eV per atom
space-group type: P4/mmm, No. 123

a = 5.165 Å, b = 5.764 Å, c = 5.165 Å
α = 90.00°, β = 90.00°, γ = 90.00°
Site moments in Bohr magnetons follow the coordinates.
Fractional coordinates of all 5 atoms:
Cr: 0.500 0.500 0.500  4.46
Zn: 0.000 0.500 0.000  0.05
Br: 0.500 0.000 0.000  0.05
Br: 0.000 0.000 0.500  0.04
Mg: 0.000 0.000 0.000  0.01



No. 9
Compound: MgZrCr2Br
Source: the Alexandria database
Functional: GGA-PBE
Structure: relaxed

Properties
total DFT energy (no corrections): -0.167 hartree per atom
formation energy (no corrections): 1.6591 eV per atom
space-group type: P4/mmm, No. 123

a = 4.619 Å, b = 5.988 Å, c = 4.619 Å
α = 90.00°, β = 90.00°, γ = 90.00°
Site moments in Bohr magnetons follow the coordinates.
Fractional coordinates of all 5 atoms:
Cr: 0.500 0.000 0.000  -0.17
Cr: 0.000 0.000 0.500  0.08
Br: 0.500 0.500 0.500  -0.06
Mg: 0.000 0.500 0.000  -0.01
Zr: 0.000 0.000 0.000  -0.05



No. 10
Compound: Mn2CrBr
Source: the Alexandria database
Functional: GGA-PBE
Structure: relaxed

Properties
total DFT energy (no corrections): -0.261 hartree per atom
formation energy (no corrections): 0.3091 eV per atom
space-group type: Pmmm, No. 47
polymorph energy (0 for the lowest one): 0.0 meV per atom

a = 3.084 Å, b = 3.212 Å, c = 6.948 Å
α = 90.02°, β = 90.00°, γ = 90.00°
Site moments in Bohr magnetons follow the coordinates.
Fractional coordinates of all 4 atoms:
Mn: 0.000 0.250 0.559  3.17
Mn: 0.000 0.250 0.941  3.17
Cr: 0.500 0.750 0.750  -2.78
Br: 0.500 0.250 0.250  0.03



No. 11
Compound: Mn2CrBr
Source: the Alexandria database
Functional: GGA-PBE
Structure: relaxed

Properties
total DFT energy (no corrections): -0.237 hartree per atom
formation energy (no corrections): 0.9503 eV per atom
space-group type: I-4m2, No. 119
polymorph energy (0 for the lowest one): 641.2 meV per atom

a = 5.359 Å, b = 5.359 Å, c = 5.359 Å
α = 135.84°, β = 135.84°, γ = 64.23°
Site moments in Bohr magnetons follow the coordinates.
Fractional coordinates of all 4 atoms:
Cr: 0.750 0.250 0.500  3.63
Mn: 0.250 0.750 0.500  3.93
Mn: 0.000 0.000 0.000  3.91
Br: 0.500 0.500 0.000  0.12



No. 12
Compound: MnCrBr2
Source: the Alexandria database
Functional: GGA-PBE
Structure: relaxed

Properties
total DFT energy (no corrections): -0.202 hartree per atom
formation energy (no corrections): 0.0288 eV per atom
space-group type: Cm, No. 8
polymorph energy (0 for the lowest one): 0.0 meV per atom

a = 3.493 Å, b = 3.493 Å, c = 9.165 Å
α = 79.30°, β = 79.30°, γ = 59.99°
Site moments in Bohr magnetons follow the coordinates.
Fractional coordinates of all 4 atoms:
Br: 0.783 0.783 0.660  -0.05
Br: 0.970 0.970 0.082  0.07
Mn: 0.244 0.244 0.265  3.82
Cr: 0.503 0.503 0.493  2.75



No. 13
Compound: MnCrBr2
Source: the Alexandria database
Functional: GGA-PBE
Structure: relaxed

Properties
total DFT energy (no corrections): -0.198 hartree per atom
formation energy (no corrections): 0.1530 eV per atom
space-group type: Pm, No. 6
polymorph energy (0 for the lowest one): 124.2 meV per atom

a = 3.337 Å, b = 3.394 Å, c = 8.300 Å
α = 78.23°, β = 90.00°, γ = 90.00°
Site moments in Bohr magnetons follow the coordinates.
Fractional coordinates of all 4 atoms:
Br: 0.500 0.134 0.356  -0.03
Br: 0.000 0.849 0.930  0.03
Mn: 0.500 0.959 0.707  3.50
Cr: 0.000 0.558 0.507  3.10



No. 14
Compound: MnCrBr2
Source: the Alexandria database
Functional: GGA-PBE
Structure: relaxed

Properties
total DFT energy (no corrections): -0.193 hartree per atom
formation energy (no corrections): 0.2802 eV per atom
space-group type: Pmmm, No. 47
polymorph energy (0 for the lowest one): 251.4 meV per atom

a = 3.541 Å, b = 6.574 Å, c = 4.097 Å
α = 90.00°, β = 90.00°, γ = 90.00°
Site moments in Bohr magnetons follow the coordinates.
Fractional coordinates of all 4 atoms:
Br: 0.000 0.000 0.000  0.01
Br: 0.500 0.500 0.000  0.06
Mn: 0.000 0.500 0.500  4.00
Cr: 0.500 0.000 0.500  4.05